Here is crystalline Cu2Hg2Pd5 at its relaxed geometry from the Alexandria database. Energies are from PBE-GGA.

Lattice parameters (Å, degrees): 7.808 7.808 6.571 90.00 90.00 49.70
Positions (direct):
Cu: 0.131 0.869 0.869
Cu: 0.369 0.631 0.369
Cu: 0.631 0.369 0.631
Cu: 0.869 0.131 0.131
Hg: 0.216 0.216 0.500
Hg: 0.284 0.284 0.000
Hg: 0.716 0.716 0.000
Hg: 0.784 0.784 0.500
Pd: 0.000 0.000 0.500
Pd: 0.046 0.714 0.166
Pd: 0.214 0.546 0.666
Pd: 0.286 0.954 0.166
Pd: 0.454 0.786 0.666
Pd: 0.500 0.500 0.000
Pd: 0.546 0.214 0.334
Pd: 0.714 0.046 0.834
Pd: 0.786 0.454 0.334
Pd: 0.954 0.286 0.834

Summary:
The value obtained for the total energy is -3.87 eV per atom. The space group is Cmce (64). The mass density comes out at 11526 kg/m³. The calculation puts the formation energy from the elements at 0.00 eV per atom.